1.
BeCrGaRh | PBE-GGA | optimized geometry

Output
Spin magnetization   2.90 μB per formula unit
E_form   -1.2 eV/f.u.

Cell lengths 5.850, 5.850, 5.850 Å; angles 90.00, 90.00, 90.00 degrees
Space group F-43m (No. 216)
Symmetry-distinct sites (fractional):
Be1 0.000 0.000 0.000 (multiplicity 4)
Cr1 0.250 0.250 0.750 (multiplicity 4)
Ga1 0.000 0.000 0.500 (multiplicity 4)
Rh1 0.250 0.250 0.250 (multiplicity 4)

=====

2.
BeVCr2Ga | PBE-GGA | optimized geometry

Output
Spin magnetization   2.56 μB per formula unit
E_form   2.8 eV/f.u.

Cell lengths 4.096, 4.096, 4.078 Å; angles 90.00, 90.00, 90.00 degrees
Space group P4/mmm (No. 123)
Symmetry-distinct sites (fractional):
Be1 0.000 0.000 0.000 (multiplicity 1)
V1 0.000 0.000 0.500 (multiplicity 1)
Cr1 0.000 0.500 0.000 (multiplicity 2)
Ga1 0.500 0.500 0.500 (multiplicity 1)

=====

3.
BeCr2GaW | PBE-GGA | optimized geometry

Output
Spin magnetization   0.00 μB per formula unit
E_form   3.8 eV/f.u.

Cell lengths 3.971, 3.971, 4.255 Å; angles 90.00, 90.00, 90.00 degrees
Space group P4/mmm (No. 123)
Symmetry-distinct sites (fractional):
Be1 0.000 0.000 0.000 (multiplicity 1)
Cr1 0.000 0.500 0.000 (multiplicity 2)
Ga1 0.500 0.500 0.500 (multiplicity 1)
W1 0.000 0.000 0.500 (multiplicity 1)